1.
Computed, not measured: a relaxed structure of VMo3W at the PBE level of DFT.

Lattice parameters (Å, degrees): 4.7352 4.7352 4.7352 90.00 90.00 90.00
With the nearest neighbours (Å) after each atom.
Atoms (fractional coordinates):
V 0.0000 0.0000 0.0000  12 Mo 3.35
Mo 0.0000 0.5000 0.5000  2 W 2.37
Mo 0.5000 0.0000 0.5000  2 W 2.37
Mo 0.5000 0.5000 0.0000  2 W 2.37
W 0.5000 0.5000 0.5000  6 Mo 2.37

- Energy above the lowest structure with this stoichiometry: 1995 meV per atom
- Energy relative to the elements: 1.905 eV per atom
- Crystal system: cubic

***

2.
Computed, not measured: a relaxed structure of HoEr2Tc at the PBE level of DFT.

Lattice parameters (Å, degrees): 7.4275 9.0530 6.1830 90.00 90.00 90.00
With the nearest neighbours (Å) after each atom.
Atoms (fractional coordinates):
Ho 0.0411 0.2500 0.1268  2 Tc 2.76-2.83
Ho 0.4589 0.7500 0.6268  2 Tc 2.76-2.83
Ho 0.5411 0.2500 0.3732  2 Tc 2.76-2.83
Ho 0.9589 0.7500 0.8732  2 Tc 2.76-2.83
Er 0.1761 0.0631 0.6555  3 Tc 2.84-3.12
Er 0.1761 0.4369 0.6555  3 Tc 2.84-3.12
Er 0.3239 0.5631 0.1555  3 Tc 2.84-3.12
Er 0.3239 0.9369 0.1555  3 Tc 2.84-3.12
Er 0.6761 0.0631 0.8445  3 Tc 2.84-3.12
Er 0.6761 0.4369 0.8445  3 Tc 2.84-3.12
Er 0.8239 0.5631 0.3445  3 Tc 2.84-3.12
Er 0.8239 0.9369 0.3445  3 Tc 2.84-3.12
Tc 0.1160 0.7500 0.4557  2 Ho 2.76-2.83, 4 Er 2.84-2.95
Tc 0.3840 0.2500 0.9557  2 Ho 2.76-2.83, 4 Er 2.84-2.95
Tc 0.6160 0.7500 0.0443  2 Ho 2.76-2.83, 4 Er 2.84-2.95
Tc 0.8840 0.2500 0.5443  2 Ho 2.76-2.83, 4 Er 2.84-2.95

- Energy above the lowest structure with this stoichiometry: 0 meV per atom
- Energy relative to the elements: -0.130 eV per atom
- Crystal system: orthorhombic

***

3.
Computed, not measured: a relaxed structure of KTlS2 at the PBE level of DFT.

Lattice parameters (Å, degrees): 16.3319 5.8905 5.2646 90.00 90.00 90.00
With the nearest neighbours (Å) after each atom.
Atoms (fractional coordinates):
K 0.0379 0.2500 0.2493  6 S 3.18-3.27
K 0.4621 0.7500 0.7493  6 S 3.18-3.27
K 0.5379 0.2500 0.2507  6 S 3.18-3.27
K 0.9621 0.7500 0.7507  6 S 3.18-3.27
Tl 0.2011 0.7500 0.2486  2 S 3.02
Tl 0.2989 0.2500 0.7486  2 S 3.02
Tl 0.7011 0.7500 0.2514  2 S 3.02
Tl 0.7989 0.2500 0.7514  2 S 3.02
S 0.1257 0.0698 0.7490  1 S 2.12
S 0.1257 0.4302 0.7490  1 S 2.12
S 0.3743 0.5698 0.2490  1 S 2.12
S 0.3743 0.9302 0.2490  1 S 2.12
S 0.6257 0.0698 0.7510  1 S 2.12
S 0.6257 0.4302 0.7510  1 S 2.12
S 0.8743 0.5698 0.2510  1 S 2.12
S 0.8743 0.9302 0.2510  1 S 2.12

- Energy above the lowest structure with this stoichiometry: 50 meV per atom
- E_form (uncorrected): -0.5806 eV per atom
- Crystal system: orthorhombic

***

4.
Computed, not measured: a relaxed structure of SmH8Pd4Pt at the PBE level of DFT.

Lattice parameters (Å, degrees): 5.8258 5.8258 5.8258 59.48 59.48 59.48
With the nearest neighbours (Å) after each atom.
Atoms (fractional coordinates):
Sm 0.0000 0.0000 0.0000  4 H 2.21-2.24
H 0.1495 0.6065 0.6065  1 Pt 1.90, 3 Pd 1.90-2.00
H 0.1546 0.1546 0.1546  3 Pd 1.85
H 0.1616 0.1616 0.5252  1 Pt 1.80, 2 Pd 1.87
H 0.1616 0.5252 0.1616  1 Pt 1.80, 2 Pd 1.87
H 0.5252 0.1616 0.1616  1 Pt 1.80, 2 Pd 1.87
H 0.6065 0.1495 0.6065  1 Pt 1.90, 3 Pd 1.90-2.00
H 0.6065 0.6065 0.1495  1 Pt 1.90, 3 Pd 1.90-2.00
H 0.6125 0.6125 0.6125  4 Pd 1.92-1.95
Pd 0.3756 0.3756 0.8671  6 H 1.85-2.00
Pd 0.3756 0.8671 0.3756  6 H 1.85-2.00
Pd 0.7468 0.7468 0.7468  4 H 1.90-1.92
Pd 0.8671 0.3756 0.3756  6 H 1.85-2.00
Pt 0.3755 0.3755 0.3755  6 H 1.80-1.90

- Total DFT energy (no corrections): -60.92 eV/cell
- Crystal system: trigonal

***

Number 1: mass density 8.17 g/cm³, magnetization 2.39 μB/f.u.. Number 2: mass density 9.55 g/cm³, magnetization 0.00 μB/f.u.. Number 3: mass density 4.03 g/cm³, magnetization 0.00 μB/f.u.. Number 4: mass density 9.37 g/cm³, magnetization 0.00 μB/f.u..